Record 1
The following is a DFT calculation (PBE) of a geometry-optimized ScTl3 structure.

Lattice parameters (Å, degrees): 5.9679 5.9679 5.9679 135.40 135.40 64.91
Element x y z (fractional)
Sc: 0.0000 0.0000 0.0000
Tl: 0.2500 0.7500 0.5000
Tl: 0.7500 0.2500 0.5000
Tl: 0.5000 0.5000 0.0000

## Properties
The total moment is 0.00 Bohr magnetons per cell. Its energy of formation is -4.37 kJ per mole of atoms. The crystal system is tetragonal. The calculated volume comes out at 103 Å³/cell.

---

Record 2
The following is a DFT calculation (PBE) of a geometry-optimized P2Rh structure.

Lattice parameters (Å, degrees): 7.0408 7.0408 3.0786 90.00 90.00 120.00
Element x y z (fractional)
P: 0.5304 0.0000 0.5000
P: 0.2856 0.0000 0.0000
Rh: 0.6667 0.3333 0.0000
P: 0.7144 0.7144 0.0000
P: 0.0000 0.2856 0.0000
Rh: 0.3333 0.6667 0.0000
P: 0.0000 0.5304 0.5000
P: 0.4696 0.4696 0.5000
Rh: 0.0000 0.0000 0.5000

## Properties
The total moment is 0.00 Bohr magnetons per cell. Its energy of formation is -8.57 kJ per mole of atoms. The crystal system is hexagonal. The calculated volume comes out at 132 Å³/cell.

---

Record 3
The following is a DFT calculation (PBE) of a geometry-optimized LiCaTmPt structure.

Lattice parameters (Å, degrees): 4.9590 4.9590 4.9590 60.00 60.00 60.00
Element x y z (fractional)
Pt: 0.7500 0.7500 0.7500
Tm: 0.5000 0.5000 0.5000
Ca: 0.0000 0.0000 0.0000
Li: 0.2500 0.2500 0.2500

## Properties
The total moment is 0.00 Bohr magnetons per cell. Its energy of formation is -57.83 kJ per mole of atoms. The crystal system is cubic. The calculated volume comes out at 86 Å³/cell.

---

Record 4
The following is a DFT calculation (PBE) of a geometry-optimized BaHgPb2 structure.

Lattice parameters (Å, degrees): 5.7032 5.7032 5.7032 60.00 60.00 60.00
Element x y z (fractional)
Pb: 0.2500 0.2500 0.2500
Ba: 0.0000 0.0000 0.0000
Hg: 0.5000 0.5000 0.5000
Pb: 0.7500 0.7500 0.7500

## Properties
The total moment is 0.00 Bohr magnetons per cell. Its energy of formation is -19.81 kJ per mole of atoms. The crystal system is cubic. The distance to the lowest polymorph of the same formula comes out at 0.175 eV per atom. The calculated volume comes out at 131 Å³/cell.

---

Record 5
The following is a DFT calculation (PBE) of a geometry-optimized Ca2ZnCu2 structure.

Lattice parameters (Å, degrees): 5.6041 5.6041 5.3989 58.73 58.73 90.00
Element x y z (fractional)
Zn: 0.0000 0.0000 0.0000
Cu: 0.3409 0.3409 0.3182
Cu: 0.6591 0.6591 0.6818
Ca: 0.2500 0.7500 0.5000
Ca: 0.7500 0.2500 0.5000

## Properties
The total moment is 0.00 Bohr magnetons per cell. Its energy of formation is -2.89 kJ per mole of atoms. The crystal system is tetragonal. The calculated volume comes out at 115 Å³/cell.

---

Record 6
The following is a DFT calculation (PBE) of a geometry-optimized Mg2TiOsO6 structure.

Lattice parameters (Å, degrees): 3.8387 5.7060 5.7060 90.00 90.00 90.00
Element x y z (fractional)
Mg: 0.8511 0.5000 0.0000
O: 0.7353 0.7540 0.2460
O: 0.7353 0.2460 0.7540
Os: 0.7146 0.5000 0.5000
O: 0.7353 0.7540 0.7540
O: 0.7353 0.2460 0.2460
Ti: 0.6628 0.0000 0.0000
O: 0.2171 0.5000 0.5000
O: 0.2088 0.0000 0.0000
Mg: 0.8511 0.0000 0.5000

## Properties
As for the uncorrected formation energy: -1.9680 eV per atom. The total moment is 0.00 Bohr magnetons per cell. The crystal system is tetragonal. The calculated volume comes out at 125 Å³/cell.

---

Record 7
The following is a DFT calculation (PBE) of a geometry-optimized CeCuGe2Au structure.

Lattice parameters (Å, degrees): 4.2654 4.2654 6.1010 110.46 110.46 90.00
Element x y z (fractional)
Cu: 0.7500 0.2500 0.5000
Ce: 0.0000 0.0000 0.0000
Ge: 0.6164 0.6164 0.2327
Ge: 0.3836 0.3836 0.7673
Au: 0.2500 0.7500 0.5000

## Properties
The total moment is 0.69 Bohr magnetons per cell. Its energy of formation is -47.29 kJ per mole of atoms. The crystal system is tetragonal. The calculated volume comes out at 96 Å³/cell.